No. 1
Below is crystalline YCo at its relaxed geometry, with properties calculated at the PBE level. Values from VASP.

For the calculated density, the calculation gives 5.81 Mg/m³. The crystal system is orthorhombic. The formation energy is -0.023 eV/atom.

Geometry as Quantum ESPRESSO input:
```
&SYSTEM
  ibrav = 0, nat = 4, ntyp = 2
/
ATOMIC_SPECIES
Co 58.93 Co.upf
Y 88.91 Y.upf
CELL_PARAMETERS angstrom
-0.6188 -3.4983 0.4424
2.1124 -2.8660 -5.2227
2.9393 -0.1512 2.9158
ATOMIC_POSITIONS crystal
Co 0.0662 0.8676 0.9335
Co 0.6838 0.6324 0.8165
Y 0.2581 0.4839 0.2422
Y 0.4919 0.0161 0.5078
```


No. 2
Below is crystalline YCo at its relaxed geometry, with properties calculated at the PBE level. Values from VASP.

For the calculated density, the calculation gives 6.01 Mg/m³. The crystal system is orthorhombic. The formation energy is -0.017 eV/atom.

Geometry as Quantum ESPRESSO input:
```
&SYSTEM
  ibrav = 0, nat = 12, ntyp = 2
/
ATOMIC_SPECIES
Y 88.91 Y.upf
Co 58.93 Co.upf
CELL_PARAMETERS angstrom
11.4054 0.0000 0.0000
0.0000 4.0143 0.0000
0.0000 0.0000 5.3520
ATOMIC_POSITIONS crystal
Y 0.2722 0.0000 0.6527
Y 0.5000 0.5000 0.4687
Co 0.3983 0.0000 0.1216
Y 0.7278 0.0000 0.6527
Y 0.0000 0.0000 0.9687
Co 0.5000 0.5000 0.9848
Co 0.8983 0.5000 0.6216
Co 0.1017 0.5000 0.6216
Y 0.7722 0.5000 0.1527
Co 0.6017 0.0000 0.1216
Y 0.2278 0.5000 0.1527
Co 0.0000 0.0000 0.4848
```


No. 3
Below is crystalline YCo3 at its relaxed geometry, with properties calculated at the PBE level. Values from VASP.

For the calculated density, the calculation gives 7.56 Mg/m³. The crystal system is hexagonal. The formation energy is -0.162 eV/atom.

Geometry as Quantum ESPRESSO input:
```
&SYSTEM
  ibrav = 0, nat = 24, ntyp = 2
/
ATOMIC_SPECIES
Co 58.93 Co.upf
Y 88.91 Y.upf
CELL_PARAMETERS angstrom
4.9972 0.0000 0.0000
-2.4986 4.3278 0.0000
0.0000 0.0000 16.1998
ATOMIC_POSITIONS crystal
Co 0.8336 0.1664 0.8714
Co 0.1664 0.8336 0.1286
Y 0.6667 0.3333 0.4598
Co 0.1664 0.3328 0.1286
Y 0.3333 0.6667 0.5402
Co 0.6672 0.8336 0.3714
Co 0.0000 0.0000 0.0000
Co 0.8336 0.6672 0.8714
Co 0.3328 0.1664 0.6286
Co 0.6672 0.8336 0.1286
Co 0.0000 0.9999 0.2500
Co 0.6666 0.3333 0.7500
Co 0.8336 0.1664 0.6286
Co 0.0000 0.0000 0.5000
Co 0.3334 0.6667 0.2500
Co 0.1664 0.8336 0.3714
Y 0.3333 0.6667 0.7500
Co 0.1664 0.3328 0.3714
Co 0.3328 0.1664 0.8714
Y 0.6667 0.3333 0.0402
Y 0.6667 0.3333 0.2500
Y 0.3333 0.6667 0.9598
Co 0.8336 0.6672 0.6286
Co 0.0000 0.0001 0.7500
```


No. 4
Below is crystalline YCo at its relaxed geometry, with properties calculated at the PBE level. Values from VASP.

For the calculated density, the calculation gives 6.21 Mg/m³. The crystal system is orthorhombic. The formation energy is -0.120 eV/atom.

Geometry as Quantum ESPRESSO input:
```
&SYSTEM
  ibrav = 0, nat = 16, ntyp = 2
/
ATOMIC_SPECIES
Co 58.93 Co.upf
Y 88.91 Y.upf
CELL_PARAMETERS angstrom
-2.4951 4.6424 2.0934
-0.1151 -2.3261 5.0213
9.0512 3.9466 2.0358
ATOMIC_POSITIONS crystal
Co 0.6671 0.6298 0.8541
Co 0.6062 0.1031 0.4748
Y 0.3301 0.3597 0.2731
Y 0.3913 0.1105 0.9369
Y 0.8301 0.1403 0.7269
Y 0.6087 0.6105 0.5631
Y 0.8913 0.3895 0.0631
Co 0.1671 0.8702 0.1459
Co 0.8938 0.8969 0.9748
Y 0.6699 0.8597 0.2269
Y 0.1699 0.6403 0.7731
Co 0.8329 0.3702 0.3541
Co 0.1062 0.3969 0.5252
Co 0.3938 0.6031 0.0252
Y 0.1087 0.8895 0.4369
Co 0.3329 0.1298 0.6459
```


> calculated density of number 4 (YCo)?

6.21 Mg/m³


> Which value of calculated density does entry 1 give?

5.81 Mg/m³


> Which of these has the highest calculated density?

YCo3